Na2ZrCr2 | PBE | optimized geometry

The calculated volume is 101.39 Å³/f.u. Its formation energy is 0.7787 eV per atom. The calculation puts the size of the total moment at 0.516 μB/f.u. The energy relative to the lowest polymorph listed for this composition is 0.0 kJ per mole of atoms. The calculated density is 3.950 g/cm³.

The space group is I4/mmm (No. 139) and the conventional cell measures 3.8517, 3.8517 and 13.6686 Å, with angles of 90.00, 90.00 and 90.00 degrees. The inequivalent atoms are Na at (0.0000, 0.5000, 0.2500), Zr at (0.0000, 0.0000, 0.0000) and Cr at (0.0000, 0.0000, 0.4308).